Entry 1:
! Ti2ZnPbO6 | the Alexandria database | PBE-GGA | optimized geometry; values from VASP
! E_form (uncorrected) = -2326 meV per atom
! Space group = C2/c (15)
&SYSTEM
  ibrav = 0, nat = 20, ntyp = 4
/
ATOMIC_SPECIES
Ti 47.87 Ti.upf
Zn 65.41 Zn.upf
Pb 207.20 Pb.upf
O 16.00 O.upf
CELL_PARAMETERS angstrom
4.6881 -5.6087 0.0000
4.6881 5.6087 0.0000
-2.6230 0.0000 5.7948
ATOMIC_POSITIONS crystal
Ti 0.0662 0.2203 0.1692
Ti 0.2203 0.0662 0.6692
Ti 0.7797 0.9338 0.3308
Ti 0.9338 0.7797 0.8308
Zn 0.2975 0.7025 0.2500
Zn 0.7025 0.2975 0.7500
Pb 0.3986 0.6014 0.7500
Pb 0.6014 0.3986 0.2500
O 0.0736 0.1583 0.4491
O 0.1287 0.6802 0.9466
O 0.1583 0.0736 0.9491
O 0.2832 0.4395 0.3073
O 0.3198 0.8713 0.5534
O 0.4395 0.2832 0.8073
O 0.5605 0.7168 0.1927
O 0.6802 0.1287 0.4466
O 0.7168 0.5605 0.6927
O 0.8417 0.9264 0.0509
O 0.8713 0.3198 0.0534
O 0.9264 0.8417 0.5509

***

Entry 2:
! Ti2ZnPbO | the Alexandria database | PBE-GGA | optimized geometry; values from VASP
! E_form (uncorrected) = 994 meV per atom
! Space group = P4/mmm (123)
&SYSTEM
  ibrav = 0, nat = 5, ntyp = 4
/
ATOMIC_SPECIES
Ti 47.87 Ti.upf
Zn 65.41 Zn.upf
Pb 207.20 Pb.upf
O 16.00 O.upf
CELL_PARAMETERS angstrom
5.3783 0.0000 0.0000
0.0000 5.3783 0.0000
0.0000 0.0000 4.4078
ATOMIC_POSITIONS crystal
Ti 0.0000 0.5000 0.0000
Ti 0.5000 0.0000 0.0000
Zn 0.0000 0.0000 0.5000
Pb 0.5000 0.5000 0.0000
O 0.5000 0.5000 0.5000